# Li2Be2IrO6

A geometry-optimized Li2Be2IrO6 structure (PBE, the Alexandria database).

The structure belongs to space group P-31m (No. 162); the cell edges are 4.8068, 4.8068 and 4.8353 Å and the angles 90.00°, 90.00° and 120.00°. The asymmetric unit holds Li at (0.3333, 0.6667, 0.0000), Be at (0.3333, 0.6667, 0.5000), Ir at (0.0000, 0.0000, 0.5000) and O at (0.0000, 0.3512, 0.7047).

The value obtained for the formation energy without anion corrections is -17.263 eV/f.u. Its total energy is -67.2 eV per cell.